[1]
{
  "formula": "Sm2LuCd",
  "functional": "PBE",
  "state": "relaxed",
  "lattice_angstrom": [[3.627, 0.000, 0.000], [0.000, 3.627, 0.000], [0.000, 0.000, 9.061]],
  "species": ["Lu", "Sm", "Sm", "Cd"],
  "fractional_positions": [[0.500, 0.500, 0.500], [0.000, 0.000, 0.768], [0.000, 0.000, 0.232], [0.500, 0.500, 0.000]],
  "magnetic_moment_mub_per_fu": 0.0,
  "formation_enthalpy_0k_kj_per_mol_atoms": -12.5,
  "e_above_lowest_polymorph_mev_per_atom": 0,
  "volume_a3_per_atom": 29.8
}

---

[2]
{
  "formula": "Zr3Be4Ga2",
  "functional": "PBE",
  "state": "relaxed",
  "lattice_angstrom": [[3.938, 0.000, 0.000], [-1.969, 4.556, -1.445], [0.000, -0.345, 7.585]],
  "species": ["Zr", "Zr", "Zr", "Be", "Be", "Be", "Be", "Ga", "Ga"],
  "fractional_positions": [[0.660, 0.320, 0.674], [0.000, 0.000, 0.000], [0.340, 0.680, 0.326], [0.729, 0.457, 0.052], [0.271, 0.543, 0.948], [0.944, 0.887, 0.603], [0.056, 0.113, 0.397], [0.620, 0.240, 0.283], [0.380, 0.760, 0.717]],
  "magnetic_moment_mub_per_fu": 0.0,
  "formation_enthalpy_0k_kj_per_mol_atoms": -37.2,
  "volume_a3_per_atom": 14.9
}

---

[3]
{
  "formula": "Nd4Sm7Ho",
  "functional": "PBE",
  "state": "relaxed",
  "lattice_angstrom": [[-4.358, 2.560, -4.792], [-2.912, -3.039, -7.961], [-6.263, -5.903, 3.358]],
  "species": ["Nd", "Nd", "Nd", "Nd", "Sm", "Sm", "Sm", "Sm", "Sm", "Sm", "Sm", "Ho"],
  "fractional_positions": [[0.552, 0.645, 0.282], [0.448, 0.355, 0.718], [0.766, 0.840, 0.689], [0.234, 0.160, 0.311], [0.736, 0.511, 0.949], [0.264, 0.489, 0.051], [0.988, 0.313, 0.642], [0.012, 0.687, 0.358], [0.293, 0.806, 0.617], [0.500, 0.000, 0.000], [0.707, 0.194, 0.383], [0.000, 0.000, 0.000]],
  "magnetic_moment_mub_per_fu": 0.0,
  "formation_enthalpy_0k_kj_per_mol_atoms": 8.1,
  "e_above_lowest_polymorph_mev_per_atom": 0,
  "volume_a3_per_atom": 34.2
}

---

[4]
{
  "formula": "Zr4ZnCu",
  "functional": "PBE",
  "state": "relaxed",
  "lattice_angstrom": [[0.185, -5.188, 2.272], [-4.801, -2.876, 0.890], [-1.219, -4.530, -3.178]],
  "species": ["Zr", "Zr", "Zr", "Zr", "Zn", "Cu"],
  "fractional_positions": [[0.875, 0.375, 0.375], [0.375, 0.375, 0.875], [0.375, 0.875, 0.375], [0.375, 0.375, 0.375], [0.000, 0.000, 0.000], [0.750, 0.750, 0.750]],
  "magnetic_moment_mub_per_fu": 0.0,
  "formation_enthalpy_0k_kj_per_mol_atoms": 47.1,
  "e_above_lowest_polymorph_mev_per_atom": 625,
  "volume_a3_per_atom": 21.4
}

---

[5]
{
  "formula": "HfReMo2Cl",
  "functional": "PBE",
  "state": "relaxed",
  "lattice_angstrom": [[-0.313, 2.945, -3.278], [2.145, -2.793, -2.714], [-3.857, -1.773, -1.224]],
  "species": ["Re", "Mo", "Mo", "Hf", "Cl"],
  "fractional_positions": [[0.000, 0.500, 0.000], [0.000, 0.000, 0.500], [0.500, 0.000, 0.000], [0.500, 0.500, 0.500], [0.000, 0.000, 0.000]],
  "magnetic_moment_mub_per_fu": 0.0,
  "formation_energy_uncorrected_mev_per_atom": 886,
  "volume_a3_per_atom": 17.4
}

---

[6]
{
  "formula": "NaTiBi2Au",
  "functional": "PBE",
  "state": "relaxed",
  "lattice_angstrom": [[5.333, 0.000, 0.000], [0.000, 4.975, 0.000], [0.000, 0.000, 5.333]],
  "species": ["Na", "Au", "Bi", "Bi", "Ti"],
  "fractional_positions": [[0.000, 0.000, 0.000], [0.500, 0.500, 0.500], [0.000, 0.000, 0.500], [0.500, 0.000, 0.000], [0.000, 0.500, 0.000]],
  "magnetic_moment_mub_per_fu": 2.0,
  "formation_enthalpy_0k_kj_per_mol_atoms": 99.6,
  "volume_a3_per_atom": 28.3
}

---

[7]
{
  "formula": "AlSnF3",
  "functional": "PBE",
  "state": "relaxed",
  "lattice_angstrom": [[-0.954, -4.532, -0.691], [0.966, -0.889, 4.494], [-4.481, 0.773, 1.116]],
  "species": ["F", "F", "F", "Al", "Sn"],
  "fractional_positions": [[0.000, 0.500, 0.000], [0.000, 0.000, 0.500], [0.500, 0.000, 0.000], [0.500, 0.500, 0.500], [0.000, 0.000, 0.000]],
  "magnetic_moment_mub_per_fu": 0.0,
  "formation_energy_uncorrected_mev_per_atom": -1641,
  "e_above_lowest_polymorph_mev_per_atom": 224,
  "volume_a3_per_atom": 20.5
}

---

[8]
{
  "formula": "CaMnCo",
  "functional": "PBE",
  "state": "relaxed",
  "lattice_angstrom": [[3.318, -1.916, 0.000], [0.000, 3.831, 0.000], [0.000, 0.000, 9.111]],
  "species": ["Ca", "Ca", "Mn", "Mn", "Co", "Co"],
  "fractional_positions": [[0.000, 0.000, 0.000], [0.000, 0.000, 0.500], [0.333, 0.667, 0.250], [0.667, 0.333, 0.750], [0.333, 0.667, 0.750], [0.667, 0.333, 0.250]],
  "magnetic_moment_mub_per_fu": 2.0,
  "formation_enthalpy_0k_kj_per_mol_atoms": 36.0,
  "e_above_lowest_polymorph_mev_per_atom": 177,
  "volume_a3_per_atom": 19.3
}

---

[9]
{
  "formula": "Au2Br3Cl4",
  "functional": "PBE",
  "state": "relaxed",
  "lattice_angstrom": [[-7.411, 6.653, 19.456], [-3.218, -2.986, 7.539], [3.908, 4.935, 7.431]],
  "species": ["Au", "Au", "Au", "Au", "Br", "Br", "Br", "Br", "Br", "Br", "Cl", "Cl", "Cl", "Cl", "Cl", "Cl", "Cl", "Cl"],
  "fractional_positions": [[0.450, 0.321, 0.349], [0.989, 0.658, 0.834], [0.550, 0.679, 0.651], [0.011, 0.342, 0.166], [0.052, 0.985, 0.227], [0.374, 0.955, 0.039], [0.948, 0.015, 0.773], [0.626, 0.045, 0.961], [0.291, 0.533, 0.329], [0.709, 0.467, 0.671], [0.741, 0.390, 0.280], [0.953, 0.715, 0.117], [0.259, 0.610, 0.720], [0.047, 0.285, 0.883], [0.970, 0.423, 0.436], [0.373, 0.917, 0.689], [0.030, 0.577, 0.564], [0.627, 0.083, 0.311]],
  "magnetic_moment_mub_per_fu": 1.0,
  "formation_energy_uncorrected_mev_per_atom": -115,
  "volume_a3_per_atom": 39.6
}

---

[10]
{
  "formula": "CaCuW",
  "functional": "PBE",
  "state": "relaxed",
  "lattice_angstrom": [[-5.928, 2.791, -2.072], [-4.784, 1.892, -4.556], [-1.770, -2.270, 0.006]],
  "species": ["Ca", "Cu", "W"],
  "fractional_positions": [[0.996, 0.996, 0.004], [0.318, 0.318, 0.682], [0.687, 0.687, 0.313]],
  "magnetic_moment_mub_per_fu": 0.0,
  "formation_enthalpy_0k_kj_per_mol_atoms": 58.7,
  "e_above_lowest_polymorph_mev_per_atom": 0,
  "volume_a3_per_atom": 18.1
}

---

[11]
{
  "formula": "AlIr3Pb",
  "functional": "PBE",
  "state": "relaxed",
  "lattice_angstrom": [[-4.225, -1.723, -0.205], [0.217, 0.010, -4.562], [1.721, -4.230, 0.072]],
  "species": ["Pb", "Ir", "Ir", "Ir", "Al"],
  "fractional_positions": [[0.500, 0.500, 0.500], [0.000, 0.500, 0.000], [0.000, 0.000, 0.500], [0.500, 0.000, 0.000], [0.000, 0.000, 0.000]],
  "magnetic_moment_mub_per_fu": 0.0,
  "formation_enthalpy_0k_kj_per_mol_atoms": 79.9,
  "e_above_lowest_polymorph_mev_per_atom": 0,
  "volume_a3_per_atom": 19.1
}

---

[12]
{
  "formula": "PuZr2Ga",
  "functional": "PBE",
  "state": "relaxed",
  "lattice_angstrom": [[-1.367, 2.953, -0.131], [-2.408, -1.029, 1.935], [4.314, 2.289, 6.584]],
  "species": ["Ga", "Zr", "Zr", "Pu"],
  "fractional_positions": [[0.500, 0.500, 0.000], [0.000, 0.000, 0.779], [0.000, 0.000, 0.221], [0.500, 0.500, 0.500]],
  "magnetic_moment_mub_per_fu": 5.4,
  "formation_enthalpy_0k_kj_per_mol_atoms": -16.5,
  "e_above_lowest_polymorph_mev_per_atom": 58,
  "volume_a3_per_atom": 21.7
}

---

Number 4 is which compound? Zr4ZnCu